This record from Alexandria describes Sc2Os after structural relaxation. The functional is PBE.

abc: 7.2680 7.2680 3.8436
angles: 90.00 90.00 120.00
With the nearest neighbours (Å) after each atom.
Element x y z (fractional)
Os 0.0000 0.0000 0.5000  9 Sc 2.68-2.97
Os 0.3333 0.6667 0.0000  9 Sc 2.74-2.92
Os 0.6667 0.3333 0.0000  9 Sc 2.74-2.92
Sc 0.0000 0.2569 0.0000  4 Os 2.68-2.74
Sc 0.0000 0.5908 0.5000  5 Os 2.92-2.97, 6 Sc 3.10-3.24
Sc 0.2569 0.0000 0.0000  4 Os 2.68-2.74
Sc 0.7431 0.7431 0.0000  4 Os 2.68-2.74
Sc 0.5908 0.0000 0.5000  5 Os 2.92-2.97, 6 Sc 3.10-3.24
Sc 0.4092 0.4092 0.5000  5 Os 2.92-2.97, 6 Sc 3.10-3.24

Formation energy from the elements ... -334 meV per atom
E_tot ... -8.2979 eV per atom
Symmetry ... P-62m
Total moment ... 0.0 μB per cell